Entry from Alexandria via LeMat-Bulk: a geometry-optimized TiBP2S structure (PBE).

ΔE to the lowest computed polymorph   0 meV per atom
Formation energy (no corrections)   462 meV/atom
VASP energy   -5.442 eV/atom
V   72.5 Å³/f.u.

The structure in POSCAR format:
```
TiBP2S
1.0
-1.9480 3.3676 -0.2770
-2.2265 -1.0387 3.0292
3.1043 2.0409 2.9815
P S B Ti
2 1 1 1
Cartesian
-1.1132 -0.5194 1.5146 P
-0.9740 1.6838 -0.1385 P
1.5522 1.0205 1.4908 S
0.0000 0.0000 0.0000 B
-0.5351 2.1849 2.8669 Ti
```